[1]
Here is a relaxed structure of CeHf3N4 from Alexandria via LeMat-Bulk. Energies are from PBE.

extended XYZ file:
```
16
Lattice="4.6772 0.0000 0.0000 0.0000 7.7560 0.0000 0.0000 0.0000 6.5785" Properties=species:S:1:pos:R:3 pbc="T T T"
Ce 1.1693 1.9390 1.0095
Ce 3.5079 5.8170 5.5690
Hf 1.1693 0.0038 4.4113
Hf 1.1693 3.8742 4.4113
Hf 1.1693 5.8170 1.1767
Hf 3.5079 7.7522 2.1672
Hf 3.5079 1.9390 5.4018
Hf 3.5079 3.8818 2.1672
N 1.1693 1.9390 5.2172
N 1.1693 3.9819 2.3042
N 1.1693 5.8170 5.4349
N 1.1693 7.6521 2.3042
N 3.5079 0.1039 4.2744
N 3.5079 1.9390 1.1436
N 3.5079 3.7741 4.2744
N 3.5079 5.8170 1.3613
```

final energy: -10.1406 eV/atom


[2]
Here is a relaxed structure of CeHf2N from Alexandria via LeMat-Bulk. Energies are from PBE.

extended XYZ file:
```
4
Lattice="2.9318 0.0000 0.0000 0.0000 2.9318 0.0000 0.0000 0.0000 8.2835" Properties=species:S:1:pos:R:3 pbc="T T T"
Ce 0.0000 0.0000 0.0000
Hf 1.4659 1.4659 2.7511
Hf 1.4659 1.4659 5.5324
N 0.0000 0.0000 4.1417
```

final energy: -8.6406 eV/atom


[3]
Here is a relaxed structure of Ce3HfN4 from Alexandria via LeMat-Bulk. Energies are from PBE.

extended XYZ file:
```
8
Lattice="1.7151 0.9902 11.5958 -1.7151 0.9902 11.5958 0.0000 -1.9805 11.5958" Properties=species:S:1:pos:R:3 pbc="T T T"
Ce 0.0000 0.0000 0.0000
Ce 0.0000 0.0000 8.6019
Ce 0.0000 0.0000 26.1855
Hf 0.0000 0.0000 17.3937
N 0.0000 0.0000 4.6113
N 0.0000 0.0000 13.1257
N 0.0000 0.0000 21.6616
N 0.0000 0.0000 30.1760
```

final energy: -9.2058 eV/atom


[4]
Here is a relaxed structure of Ce5Hf3N8 from Alexandria via LeMat-Bulk. Energies are from PBE.

extended XYZ file:
```
16
Lattice="3.3877 1.9559 5.7018 -3.3877 1.9559 5.7018 0.0000 -3.9118 5.7018" Properties=species:S:1:pos:R:3 pbc="T T T"
Ce 0.0000 0.0000 0.0000
Ce -1.6938 -0.9779 5.7018
Ce -1.6938 0.9779 11.4035
Ce 0.0000 1.9559 5.7018
Ce 0.0000 0.0000 8.5527
Hf -3.3877 0.0000 8.5527
Hf -1.6938 0.9779 2.8509
Hf 1.6938 0.9779 2.8509
N -1.7893 -1.0331 9.8037
N 0.0000 0.0000 4.0889
N 0.0000 -2.0661 7.3016
N -1.7893 1.0331 7.3016
N 1.7893 -1.0331 9.8037
N 0.0000 2.0661 9.8037
N 0.0000 0.0000 13.0164
N 1.7893 1.0331 7.3016
```

final energy: -9.5174 eV/atom


[5]
Here is a relaxed structure of CeHf3N4 from Alexandria via LeMat-Bulk. Energies are from PBE.

extended XYZ file:
```
16
Lattice="3.2577 0.0000 0.0000 -1.6289 2.8213 0.0000 0.0000 0.0000 21.9516" Properties=species:S:1:pos:R:3 pbc="T T T"
Ce 0.0000 1.8808 5.4879
Ce 1.6289 0.9404 16.4637
Hf 0.0000 0.0000 0.0000
Hf 0.0000 0.0000 10.9758
Hf 0.0000 1.8808 13.6053
Hf 0.0000 1.8808 19.3221
Hf 1.6289 0.9404 2.6295
Hf 1.6289 0.9404 8.3463
N 0.0000 0.0000 3.8048
N 0.0000 0.0000 7.1710
N 0.0000 0.0000 14.7806
N 0.0000 0.0000 18.1468
N 0.0000 1.8808 1.2712
N 0.0000 1.8808 9.7046
N 1.6289 0.9404 12.2470
N 1.6289 0.9404 20.6804
```

final energy: -10.3593 eV/atom


[6]
Here is a relaxed structure of CeHfN2 from Alexandria via LeMat-Bulk. Energies are from PBE.

extended XYZ file:
```
4
Lattice="1.6331 0.9429 5.9322 -1.6331 0.9429 5.9322 0.0000 -1.8857 5.9322" Properties=species:S:1:pos:R:3 pbc="T T T"
Ce 0.0000 0.0000 0.0000
Hf 0.0000 0.0000 3.1203
N 0.0000 0.0000 7.6634
N 0.0000 0.0000 10.3005
```

final energy: -9.5608 eV/atom


[7]
Here is a relaxed structure of CeHf2N from Alexandria via LeMat-Bulk. Energies are from PBE.

extended XYZ file:
```
4
Lattice="1.5805 0.9125 8.8255 -1.5805 0.9125 8.8255 0.0000 -1.8250 8.8255" Properties=species:S:1:pos:R:3 pbc="T T T"
Ce 0.0000 0.0000 0.0000
Hf 0.0000 0.0000 3.1403
Hf 0.0000 0.0000 23.3364
N 0.0000 0.0000 13.2383
```

final energy: -9.2181 eV/atom


[8]
Here is a relaxed structure of CeHf4N6 from Alexandria via LeMat-Bulk. Energies are from PBE.

extended XYZ file:
```
22
Lattice="1.6038 -5.3252 0.0000 1.6038 5.3252 0.0000 0.0000 0.0000 16.2936" Properties=species:S:1:pos:R:3 pbc="T T T"
Ce 1.6038 3.7040 12.2202
Ce 1.6038 -3.7040 4.0734
Hf 1.6038 4.2307 2.1881
Hf 1.6038 4.2307 5.9587
Hf 1.6038 1.4166 0.7629
Hf 1.6038 1.4166 7.3839
Hf 1.6038 -1.4166 8.9097
Hf 1.6038 -1.4166 15.5307
Hf 1.6038 -4.2307 10.3349
Hf 1.6038 -4.2307 14.1055
N 0.0000 0.0000 0.0000
N 0.0000 0.0000 8.1468
N 1.6038 3.3790 4.0734
N 1.6038 2.4528 9.4974
N 1.6038 2.4528 14.9429
N 1.6038 0.3725 2.5740
N 1.6038 0.3725 5.5728
N 1.6038 -0.3725 10.7208
N 1.6038 -0.3725 13.7196
N 1.6038 -2.4528 1.3506
N 1.6038 -2.4528 6.7961
N 1.6038 -3.3790 12.2202
```

final energy: -10.4352 eV/atom


[9]
Here is a relaxed structure of Ce3Hf2NbN6 from Alexandria via LeMat-Bulk. Energies are from PBE.

extended XYZ file:
```
12
Lattice="2.8661 -4.9609 0.0000 2.8661 4.9609 0.0000 -1.9091 0.0000 5.6413" Properties=species:S:1:pos:R:3 pbc="T T T"
Ce 0.0000 0.0000 0.0000
Ce 2.8661 1.6454 0.0000
Ce 2.8661 -1.6454 0.0000
Hf 1.9116 3.3056 2.8206
Hf 1.9116 -3.3056 2.8206
Nb 1.9116 0.0000 2.8206
N 0.9465 1.6692 1.6087
N -0.0166 0.0000 4.0294
N 0.9465 -1.6692 1.6087
N 2.8767 1.6692 4.0326
N 3.8398 0.0000 1.6119
N 2.8767 -1.6692 4.0326
```

final energy: -9.7272 eV/atom


[10]
Here is a relaxed structure of Ce3Hf3NbN8 from Alexandria via LeMat-Bulk. Energies are from PBE.

extended XYZ file:
```
15
Lattice="3.2477 1.8751 5.7013 -3.2477 1.8751 5.7013 0.0000 -3.7501 5.7013" Properties=species:S:1:pos:R:3 pbc="T T T"
Ce -1.6238 -0.9375 5.7013
Ce -1.6238 0.9375 11.4026
Ce 0.0000 1.8751 5.7013
Hf -3.2477 0.0000 8.5519
Hf -1.6238 0.9375 2.8506
Hf 1.6238 0.9375 2.8506
Nb 0.0000 0.0000 8.5519
N 0.0000 0.0000 4.0622
N -1.5718 -0.9075 9.7530
N 0.0000 -1.8149 7.3508
N -1.5718 0.9075 7.3508
N 1.5718 -0.9075 9.7530
N 0.0000 1.8150 9.7530
N 1.5718 0.9075 7.3508
N 0.0000 0.0000 13.0417
```

final energy: -9.8100 eV/atom


[11]
Here is a relaxed structure of CeHfNbN3 from Alexandria via LeMat-Bulk. Energies are from PBE.

extended XYZ file:
```
12
Lattice="6.2444 0.0000 0.0000 0.0000 3.1765 0.0000 -1.7134 0.0000 9.1460" Properties=species:S:1:pos:R:3 pbc="T T T"
Ce 0.8245 0.7941 2.1653
Ce 3.7065 2.3824 6.9806
Hf 0.2079 0.7941 5.5072
Hf 4.3231 2.3824 3.6388
Nb 0.4806 2.3824 8.1777
Nb 4.0504 0.7941 0.9683
N -0.8107 0.7941 7.7665
N 0.2524 2.3824 3.9571
N 1.4360 2.3824 6.4602
N 3.0949 0.7941 2.6858
N 4.2786 0.7941 5.1888
N 5.3416 2.3824 1.3794
```

final energy: -9.6819 eV/atom


[12]
Here is a relaxed structure of CeNdHfN3 from Alexandria via LeMat-Bulk. Energies are from PBE.

extended XYZ file:
```
12
Lattice="6.3002 0.0000 0.0000 0.0000 3.2993 0.0000 -0.6667 0.0000 9.7918" Properties=species:S:1:pos:R:3 pbc="T T T"
Ce 1.3759 0.8248 0.7986
Ce 4.2576 2.4745 8.9932
Nd 0.5703 0.8248 7.0404
Nd 5.0632 2.4745 2.7515
Hf 1.9088 2.4745 3.8911
Hf 3.7247 0.8248 5.9007
N 0.6553 0.8248 3.2745
N 0.4712 2.4745 9.0290
N 2.1269 2.4745 5.9454
N 3.5066 0.8248 3.8464
N 5.1623 0.8248 0.7628
N 4.9782 2.4745 6.5173
```

final energy: -8.9470 eV/atom


[13]
Here is a relaxed structure of CeNd2HfN4 from Alexandria via LeMat-Bulk. Energies are from PBE.

extended XYZ file:
```
8
Lattice="6.0548 0.0000 0.0000 0.0000 3.4779 0.0000 -1.9734 0.0000 5.7829" Properties=species:S:1:pos:R:3 pbc="T T T"
Ce 0.0000 0.0000 0.0000
Nd -0.9867 1.7389 2.8915
Nd 2.0407 0.0000 2.8915
Hf 3.0274 1.7389 0.0000
N 1.1408 1.7389 1.2790
N 0.1195 0.0000 4.5411
N 3.9619 0.0000 1.2418
N 2.9406 1.7389 4.5039
```

final energy: -8.8537 eV/atom


[14]
Here is a relaxed structure of Ce3Hf2NpN6 from Alexandria via LeMat-Bulk. Energies are from PBE.

extended XYZ file:
```
12
Lattice="2.9186 -5.0587 0.0000 2.9186 5.0587 0.0000 -1.9455 0.0000 5.7131" Properties=species:S:1:pos:R:3 pbc="T T T"
Ce 0.0000 0.0000 0.0000
Ce 2.9186 1.6841 0.0000
Ce 2.9186 -1.6841 0.0000
Hf 1.9459 3.3714 2.8565
Hf 1.9459 -3.3714 2.8565
Np 1.9459 0.0000 2.8565
N 0.9537 1.7205 1.6294
N -0.0370 0.0000 4.0742
N 0.9537 -1.7205 1.6294
N 2.9381 1.7205 4.0837
N 3.9287 0.0000 1.6389
N 2.9381 -1.7205 4.0837
```

final energy: -9.9547 eV/atom


[15]
Here is a relaxed structure of Ce2HfNpN4 from Alexandria via LeMat-Bulk. Energies are from PBE.

extended XYZ file:
```
8
Lattice="5.9008 0.0000 0.0000 0.0000 3.3934 0.0000 -1.9171 0.0000 5.7196" Properties=species:S:1:pos:R:3 pbc="T T T"
Ce 0.0000 0.0000 0.0000
Ce 2.9504 1.6967 0.0000
Hf -0.9585 1.6967 2.8598
Np 1.9919 0.0000 2.8598
N -0.0059 0.0000 4.0889
N 0.9264 1.6967 1.6057
N 3.0573 1.6967 4.1139
N 3.9896 0.0000 1.6307
```

final energy: -10.0162 eV/atom


[16]
Here is a relaxed structure of CeHf3P4N12 from Alexandria via LeMat-Bulk. Energies are from PBE.

extended XYZ file:
```
20
Lattice="5.2847 3.0511 2.7134 -5.2847 3.0511 2.7134 0.0000 -6.1023 2.7134" Properties=species:S:1:pos:R:3 pbc="T T T"
Ce 0.0000 0.0000 0.0000
Hf -2.9150 -1.0534 2.7134
Hf -2.9150 1.0534 5.4268
Hf 0.5453 3.0511 2.7134
P -2.3733 -4.1106 4.0701
P 0.0000 0.0000 4.0701
P -2.3733 4.1106 4.0701
P 4.7465 0.0000 4.0701
N -3.2282 -2.7862 3.9590
N -4.2554 0.0000 4.0701
N -0.7988 -4.1888 4.1811
N -1.5730 0.0000 4.0701
N -3.2282 2.7862 4.1811
N 2.1277 -3.6853 4.0701
N 0.7865 -1.3623 4.0701
N -0.7988 4.1888 3.9590
N 0.7865 1.3623 4.0701
N 4.0270 -1.4026 3.9590
N 2.1277 3.6853 4.0701
N 4.0270 1.4026 4.1811
```

final energy: -8.7140 eV/atom


[17]
Here is a relaxed structure of CeHfPa2N4 from Alexandria via LeMat-Bulk. Energies are from PBE.

extended XYZ file:
```
8
Lattice="5.9396 0.0000 0.0000 0.0000 3.4231 0.0000 -1.9495 0.0000 5.6761" Properties=species:S:1:pos:R:3 pbc="T T T"
Ce 0.0000 0.0000 0.0000
Hf -0.9747 1.7115 2.8381
Pa 1.9951 0.0000 2.8381
Pa 2.9698 1.7115 0.0000
N -0.0184 0.0000 4.1110
N 0.9358 1.7115 1.5579
N 3.0544 1.7115 4.1183
N 4.0086 0.0000 1.5651
```

final energy: -10.1464 eV/atom


[18]
Here is a relaxed structure of Ce3HfPa2N6 from Alexandria via LeMat-Bulk. Energies are from PBE.

extended XYZ file:
```
12
Lattice="3.0059 -5.2010 0.0000 3.0059 5.2010 0.0000 -2.0004 0.0000 5.7406" Properties=species:S:1:pos:R:3 pbc="T T T"
Ce 0.0000 0.0000 0.0000
Ce 3.0059 1.7287 0.0000
Ce 3.0059 -1.7287 0.0000
Hf 2.0057 0.0000 2.8703
Pa 2.0057 3.4683 2.8703
Pa 2.0057 -3.4683 2.8703
N 1.0380 1.6773 1.6216
N 0.0724 0.0000 4.1389
N 1.0380 -1.6773 1.6216
N 2.9733 1.6773 4.1190
N 3.9390 0.0000 1.6017
N 2.9733 -1.6773 4.1190
```

final energy: -9.6983 eV/atom


[19]
Here is a relaxed structure of CePmHfN3 from Alexandria via LeMat-Bulk. Energies are from PBE.

extended XYZ file:
```
12
Lattice="6.1350 0.0000 0.0000 0.0000 3.2968 0.0000 -1.1216 0.0000 9.6616" Properties=species:S:1:pos:R:3 pbc="T T T"
Ce 0.7625 0.8242 3.9126
Ce 4.2508 2.4726 5.7490
Pm 1.0069 0.8242 7.4391
Pm 4.0064 2.4726 2.2225
Hf 0.9730 2.4726 0.9349
Hf 4.0404 0.8242 8.7267
N -0.5183 2.4726 8.5344
N 0.6679 2.4726 5.5120
N 2.1958 0.8242 1.6205
N 2.8176 2.4726 8.0411
N 4.3454 0.8242 4.1496
N 5.5316 0.8242 1.1272
```

final energy: -8.9708 eV/atom


[20]
Here is a relaxed structure of CePm2HfN4 from Alexandria via LeMat-Bulk. Energies are from PBE.

extended XYZ file:
```
8
Lattice="6.0361 0.0000 0.0000 0.0000 3.4656 0.0000 -1.9652 0.0000 5.7350" Properties=species:S:1:pos:R:3 pbc="T T T"
Ce 0.0000 0.0000 0.0000
Pm -0.9826 1.7328 2.8675
Pm 2.0354 0.0000 2.8675
Hf 3.0181 1.7328 0.0000
N 1.1363 1.7328 1.2918
N 0.1203 0.0000 4.4839
N 3.9506 0.0000 1.2511
N 2.9346 1.7328 4.4432
```

final energy: -8.8867 eV/atom


[21]
Here is a relaxed structure of Ce2PmHfN4 from Alexandria via LeMat-Bulk. Energies are from PBE.

extended XYZ file:
```
8
Lattice="6.0454 0.0000 0.0000 0.0000 3.4505 0.0000 -1.9746 0.0000 5.7167" Properties=species:S:1:pos:R:3 pbc="T T T"
Ce 0.0000 0.0000 0.0000
Ce -0.9873 1.7252 2.8583
Pm 2.0354 0.0000 2.8583
Hf 3.0227 1.7252 0.0000
N 1.1259 1.7252 1.2953
N 0.1114 0.0000 4.4489
N 3.9594 0.0000 1.2678
N 2.9449 1.7252 4.4213
```

final energy: -9.0376 eV/atom


It is found that the formation energy without anion corrections values, taken in the order of the records, are -12.03, -0.40, -12.59, -26.15, -13.78, -5.71, -2.71, -19.09, -19.00, -22.82, -7.16, -8.05, -12.10, -18.85, -12.07, -16.94, -12.99, -19.68, -8.21, -12.40, -12.43 eV per formula unit.
It is found that the calculated volume values, taken in the order of the records, are 14.915, 17.800, 14.771, 14.167, 12.610, 13.701, 19.091, 12.650, 13.368, 13.888, 15.118, 16.961, 15.222, 14.058, 14.316, 13.126, 14.426, 14.958, 16.285, 14.996, 14.906 Å³/atom.
It is found that the Fermi-level density of states values, taken in the order of the records, are 0.644, 1.652, 0.962, 0.787, 0.632, 0.337, 1.309, 0.418, 0.618, 0.599, 0.540, 0.719, 0.444, 1.077, 1.223, 0.093, 0.638, 0.781, 0.700, 0.457, 0.673 states/eV/atom.